Nd2PuIr9: relaxed, PBE-GGA.

Structure (POSCAR):
```
Nd2PuIr9
1.0
2.674 1.544 8.871
-2.674 1.544 8.871
0.000 -3.087 8.871
Nd Pu Ir
2 1 9
Direct
0.140 0.140 0.140
0.860 0.860 0.860
0.000 0.000 0.000
0.083 0.580 0.580
0.333 0.333 0.333
0.420 0.420 0.917
0.420 0.917 0.420
0.500 0.500 0.500
0.580 0.083 0.580
0.580 0.580 0.083
0.667 0.667 0.667
0.917 0.420 0.420
```

## Properties
ΔH_f (0 K), eV/f.u.: -5.52
Crystal system: trigonal
VASP energy, eV per atom: -9.095
N(E_F), states/eV/cell: 18.314



ScZn2Sb: relaxed, PBE-GGA.

Structure (POSCAR):
```
ScZn2Sb
1.0
-2.049 2.049 4.614
2.049 -2.049 4.614
2.049 2.049 -4.614
Sc Zn Sb
1 2 1
Direct
0.000 0.000 0.000
0.500 0.500 0.000
0.750 0.250 0.500
0.250 0.750 0.500
```

## Properties
Crystal system: tetragonal
VASP energy, eV per atom: -3.561
N(E_F), states/eV/cell: 2.361